1.
Here is a relaxed structure of YScP2 from the Alexandria database. Energies are from PBE-GGA.

Properties
Density of states at the Fermi level   0.238 states/eV per atom
Symmetry   No. 12
Offset from the most stable computed form   476 meV/atom
Calculated formation energy   -1065 meV/atom

a b c (Å): 4.937 4.937 3.442
angles (deg): 101.21 101.21 92.15
Element x y z (fractional)
Y (0.000, 0.000, 0.000)
Sc (0.500, 0.500, 0.000)
P (0.000, 0.500, 0.500)
P (0.500, 0.000, 0.500)



2.
Here is a relaxed structure of YScP2 from the Alexandria database. Energies are from PBE-GGA.

Properties
Density of states at the Fermi level   0.271 states/eV per atom
Symmetry   No. 71
Offset from the most stable computed form   444 meV/atom
Calculated formation energy   -1097 meV/atom

a b c (Å): 4.955 4.955 4.955
angles (deg): 131.31 111.72 88.27
Element x y z (fractional)
Y (0.000, 0.000, 0.000)
Sc (0.500, 0.500, 0.000)
P (0.264, 0.764, 0.500)
P (0.736, 0.236, 0.500)



3.
Here is a relaxed structure of YSc2P from the Alexandria database. Energies are from PBE-GGA.

Properties
Density of states at the Fermi level   1.122 states/eV per atom
Symmetry   No. 139
Calculated formation energy   -413 meV/atom

a b c (Å): 5.793 5.793 5.793
angles (deg): 137.85 137.85 61.13
Element x y z (fractional)
Y (0.000, 0.000, 0.000)
Sc (0.250, 0.750, 0.500)
Sc (0.750, 0.250, 0.500)
P (0.500, 0.500, 0.000)



4.
Here is a relaxed structure of Y3ScP from the Alexandria database. Energies are from PBE-GGA.

Properties
Density of states at the Fermi level   1.079 states/eV per atom
Symmetry   No. 221
Offset from the most stable computed form   1211 meV/atom
Calculated formation energy   822 meV/atom

a b c (Å): 5.339 5.339 5.339
angles (deg): 90.00 90.00 90.00
Element x y z (fractional)
Y (0.000, 0.000, 0.500)
Y (0.000, 0.500, 0.000)
Y (0.500, 0.000, 0.000)
Sc (0.000, 0.000, 0.000)
P (0.500, 0.500, 0.500)



5.
Here is a relaxed structure of Y3ScP4 from the Alexandria database. Energies are from PBE-GGA.

Properties
Density of states at the Fermi level   0.099 states/eV per atom
Symmetry   No. 13
Calculated formation energy   -1575 meV/atom

a b c (Å): 6.844 7.914 6.848
angles (deg): 90.00 109.52 90.00
Element x y z (fractional)
Y (0.000, 0.124, 0.250)
Y (0.000, 0.373, 0.750)
Y (0.000, 0.627, 0.250)
Y (0.000, 0.876, 0.750)
Y (0.500, 0.373, 0.250)
Y (0.500, 0.627, 0.750)
Sc (0.500, 0.124, 0.750)
Sc (0.500, 0.876, 0.250)
P (0.255, 0.370, 0.506)
P (0.255, 0.630, 0.006)
P (0.261, 0.119, 0.000)
P (0.261, 0.881, 0.500)
P (0.739, 0.119, 0.500)
P (0.739, 0.881, 0.000)
P (0.745, 0.370, 0.994)
P (0.745, 0.630, 0.494)



6.
Here is a relaxed structure of YScP2 from the Alexandria database. Energies are from PBE-GGA.

Properties
Density of states at the Fermi level   0.076 states/eV per atom
Symmetry   No. 38
Offset from the most stable computed form   260 meV/atom
Calculated formation energy   -1281 meV/atom

a b c (Å): 4.046 5.779 5.779
angles (deg): 37.50 90.00 90.00
Element x y z (fractional)
Y (0.000, 0.000, 0.000)
Sc (0.500, 0.741, 0.741)
P (0.000, 0.261, 0.261)
P (0.500, 0.505, 0.505)



> Look up the calculated formation energy of the fourth one.

822 meV/atom